Material: Ce3PmPr2Te6
Method: DFT, PBE
State: optimized geometry

Cell: 7.7600 13.4599 7.8455 Å, 90.00 109.29 90.00°
Space group C2/m (No. 12)
One atom of each set of equivalent atoms:
Ce1 0.0000 0.0000 0.0000 x2
Ce2 0.0000 0.3315 0.0000 x4
Pm1 0.0000 0.5000 0.5000 x2
Pr1 0.0000 0.1663 0.5000 x4
Te1 0.2457 0.5000 0.2472 x4
Te2 0.2485 0.3348 0.7507 x8

calculated volume	32.23	A^3/atom
E_form (uncorrected)	-1.406	eV per atom
calculated density	6.93	g/cm3